[1]
Below is a geometry-optimized K2SrAs structure, with properties calculated at the PBE level.

a b c (Å): 4.121 4.755 19.492
angles (deg): 90.00 90.00 90.00
Fractional positions:
K 0.000 0.000 0.154
K 0.000 0.000 0.846
K 0.500 0.500 0.346
K 0.500 0.500 0.654
Sr 0.000 0.500 0.000
Sr 0.500 0.000 0.500
As 0.000 0.500 0.500
As 0.500 0.000 0.000

Formation energy, eV/f.u.: -1.77

[2]
Below is a geometry-optimized K2SrAs structure, with properties calculated at the PBE level.

a b c (Å): 8.341 8.341 8.341
angles (deg): 90.00 90.00 90.00
Fractional positions:
K 0.000 0.000 0.000
K 0.000 0.500 0.500
K 0.250 0.250 0.250
K 0.250 0.750 0.750
K 0.500 0.000 0.500
K 0.500 0.500 0.000
K 0.750 0.250 0.750
K 0.750 0.750 0.250
Sr 0.250 0.250 0.750
Sr 0.250 0.750 0.250
Sr 0.750 0.250 0.250
Sr 0.750 0.750 0.750
As 0.000 0.000 0.500
As 0.000 0.500 0.000
As 0.500 0.000 0.000
As 0.500 0.500 0.500

Formation energy, eV/f.u.: -0.72

[3]
Below is a geometry-optimized K2SrAs structure, with properties calculated at the PBE level.

a b c (Å): 4.307 4.307 10.018
angles (deg): 90.00 90.00 90.00
Fractional positions:
K 0.000 0.000 0.000
K 0.500 0.500 0.372
Sr 0.000 0.000 0.666
As 0.500 0.500 0.737

Formation energy, eV/f.u.: -1.61

[4]
Below is a geometry-optimized K2SrAs structure, with properties calculated at the PBE level.

a b c (Å): 4.366 5.972 15.370
angles (deg): 90.00 90.00 90.00
Fractional positions:
K 0.000 0.000 0.000
K 0.000 0.500 0.143
K 0.500 0.000 0.643
K 0.500 0.500 0.500
Sr 0.000 0.500 0.849
Sr 0.500 0.000 0.349
As 0.000 0.000 0.479
As 0.500 0.500 0.979

Formation energy, eV/f.u.: -1.25

[5]
Below is a geometry-optimized K2SrAs2 structure, with properties calculated at the PBE level.

a b c (Å): 7.924 7.924 5.423
angles (deg): 90.00 90.00 90.00
Fractional positions:
K 0.160 0.340 0.000
K 0.340 0.840 0.000
K 0.660 0.160 0.000
K 0.840 0.660 0.000
Sr 0.000 0.000 0.500
Sr 0.500 0.500 0.500
As 0.114 0.614 0.500
As 0.386 0.114 0.500
As 0.614 0.886 0.500
As 0.886 0.386 0.500

E above lowest polymorph, kcal/mol of atoms: 0.00
Formation energy, eV/f.u.: -2.56

[6]
Below is a geometry-optimized K2SrAs structure, with properties calculated at the PBE level.

a b c (Å): 6.620 7.012 13.158
angles (deg): 90.00 90.00 90.00
Fractional positions:
K 0.000 0.250 0.250
K 0.000 0.250 0.750
K 0.000 0.750 0.250
K 0.000 0.750 0.750
K 0.500 0.250 0.250
K 0.500 0.250 0.750
K 0.500 0.750 0.250
K 0.500 0.750 0.750
Sr 0.000 0.000 0.000
Sr 0.000 0.500 0.500
Sr 0.500 0.000 0.500
Sr 0.500 0.500 0.000
As 0.000 0.000 0.500
As 0.000 0.500 0.000
As 0.500 0.000 0.000
As 0.500 0.500 0.500

Formation energy, eV/f.u.: -0.57

[7]
Below is a geometry-optimized K2SrAs structure, with properties calculated at the PBE level.

a b c (Å): 8.707 5.027 10.180
angles (deg): 90.00 106.46 90.00
Fractional positions:
K 0.000 0.000 0.000
K 0.196 0.000 0.591
K 0.500 0.500 0.000
K 0.696 0.500 0.591
Sr 0.271 0.500 0.317
Sr 0.771 0.000 0.317
As 0.466 0.000 0.402
As 0.966 0.500 0.402

Formation energy, eV/f.u.: -1.74

[8]
Below is a geometry-optimized K2SrAs structure, with properties calculated at the PBE level.

a b c (Å): 4.843 4.843 26.079
angles (deg): 90.00 90.00 90.00
Fractional positions:
K 0.211 0.250 0.125
K 0.250 0.711 0.375
K 0.250 0.789 0.875
K 0.289 0.250 0.625
K 0.711 0.750 0.625
K 0.750 0.211 0.875
K 0.750 0.289 0.375
K 0.789 0.750 0.125
Sr 0.000 0.000 0.500
Sr 0.000 0.500 0.750
Sr 0.500 0.000 0.250
Sr 0.500 0.500 0.000
As 0.000 0.000 0.000
As 0.000 0.500 0.250
As 0.500 0.000 0.750
As 0.500 0.500 0.500

Formation energy, eV/f.u.: -0.63

[9]
Below is a geometry-optimized K2SrTaAs structure, with properties calculated at the PBE level.

a b c (Å): 6.357 6.357 5.038
angles (deg): 90.00 90.00 90.00
Fractional positions:
K 0.000 0.500 0.000
K 0.500 0.000 0.000
Sr 0.000 0.000 0.500
Ta 0.500 0.500 0.500
As 0.500 0.500 0.000

Formation energy, eV/f.u.: 2.49

[10]
Below is a geometry-optimized KSrTeAs2 structure, with properties calculated at the PBE level.

a b c (Å): 5.803 5.803 6.191
angles (deg): 90.00 90.00 90.00
Fractional positions:
K 0.000 0.000 0.000
Sr 0.500 0.500 0.500
Te 0.500 0.500 0.000
As 0.000 0.500 0.500
As 0.500 0.000 0.500

Energy relative to the elements, uncorrected, eV/atom: 0.102

[11]
Below is a geometry-optimized K2SrZnAs structure, with properties calculated at the PBE level.

a b c (Å): 6.622 6.622 4.982
angles (deg): 90.00 90.00 90.00
Fractional positions:
K 0.000 0.500 0.000
K 0.500 0.000 0.000
Sr 0.000 0.000 0.500
Zn 0.500 0.500 0.500
As 0.500 0.500 0.000

Formation energy, eV/f.u.: 0.10

[12]
Below is a geometry-optimized KTaAs structure, with properties calculated at the PBE level.

a b c (Å): 6.974 6.974 6.974
angles (deg): 90.00 90.00 90.00
Fractional positions:
K 0.000 0.000 0.000
K 0.000 0.500 0.500
K 0.500 0.000 0.500
K 0.500 0.500 0.000
Ta 0.250 0.250 0.750
Ta 0.250 0.750 0.250
Ta 0.750 0.250 0.250
Ta 0.750 0.750 0.750
As 0.250 0.250 0.250
As 0.250 0.750 0.750
As 0.750 0.250 0.750
As 0.750 0.750 0.250

E above lowest polymorph, kcal/mol of atoms: 52.47
Formation energy, eV/f.u.: 5.85